Pm2Dy3Tm6Zr | the Alexandria database | PBE | optimized geometry; symmetry = C2/m (12); formation energy from the elements = 0.051 eV per atom; DFT total energy = -58.08 eV/cell
1.0
3.033 -5.248 0.000
3.033 5.248 0.000
-2.015 0.000 11.389
Pm Dy Tm Zr
2 3 6 1
Direct
0.167 0.833 0.000
0.833 0.167 0.000
0.000 0.000 0.500
0.334 0.666 0.500
0.666 0.334 0.500
0.091 0.418 0.753
0.256 0.256 0.247
0.418 0.091 0.753
0.582 0.909 0.247
0.744 0.744 0.753
0.909 0.582 0.247
0.500 0.500 0.000